--- P ---
Below is a geometry-optimized Ce3PrNi8 structure, with properties calculated at the PBE level.

Results
DOS(E_F): 15.759 states/eV/cell
total magnetization: 0.72 μB per formula unit
volume: 15.8 A^3/atom

a = 5.115 Å, b = 5.115 Å, c = 8.858 Å
α = 73.22°, β = 73.22°, γ = 60.00°
Element x y z (fractional)
Ni1 0.437 0.937 0.688
Ni2 0.439 0.439 0.185
Ni3 0.439 0.936 0.185
Ni4 0.688 0.688 0.937
Ni5 0.937 0.937 0.688
Ni6 0.937 0.437 0.688
Ni7 0.936 0.439 0.185
Ni8 0.187 0.187 0.438
Ce1 0.372 0.372 0.883
Ce2 0.004 0.004 0.989
Ce3 0.495 0.495 0.515
Pr1 0.877 0.877 0.369

=====

--- Q ---
Below is a geometry-optimized Ce3PrNi8 structure, with properties calculated at the PBE level.

Results
DOS(E_F): 17.399 states/eV/cell
total magnetization: 0.00 μB per formula unit
volume: 15.8 A^3/atom

a = 5.075 Å, b = 5.075 Å, c = 8.491 Å
α = 90.00°, β = 90.00°, γ = 120.00°
Element x y z (fractional)
Pr1 0.000 0.000 0.562
Ni1 0.333 0.667 0.002
Ni2 0.171 0.342 0.248
Ni3 0.496 0.504 0.753
Ni4 0.008 0.504 0.753
Ni5 0.496 0.992 0.753
Ni6 0.171 0.829 0.248
Ni7 0.333 0.667 0.499
Ni8 0.658 0.829 0.248
Ce1 0.667 0.333 0.052
Ce2 0.667 0.333 0.434
Ce3 0.000 0.000 0.945

=====

It is P that is most stable; the runner-up trails by 1.0 kJ/mol of atoms.

=====

--- P ---
Below is a geometry-optimized CeTmNiPt structure, with properties calculated at the PBE level.

Results
DOS(E_F): 5.883 states/eV/cell
total magnetization: 0.43 μB per formula unit
volume: 20.7 A^3/atom

a = 4.894 Å, b = 4.894 Å, c = 4.894 Å
α = 60.00°, β = 60.00°, γ = 60.00°
Element x y z (fractional)
Ni1 0.250 0.250 0.250
Ce1 0.000 0.000 0.000
Pt1 0.750 0.750 0.750
Tm1 0.500 0.500 0.500

=====

--- Q ---
Below is a geometry-optimized CeTmNiPt structure, with properties calculated at the PBE level.

Results
DOS(E_F): 5.541 states/eV/cell
total magnetization: 0.18 μB per formula unit
volume: 21.2 A^3/atom

a = 3.688 Å, b = 4.311 Å, c = 5.637 Å
α = 90.00°, β = 109.09°, γ = 90.00°
Element x y z (fractional)
Ce1 0.865 0.500 0.729
Pt1 0.585 0.500 0.169
Tm1 0.140 0.000 0.281
Ni1 0.411 0.000 0.821

=====

It is Q that is most stable; the runner-up trails by 10.0 kJ/mol of atoms.

=====

--- P ---
Below is a geometry-optimized Ce2PuNi structure, with properties calculated at the PBE level.

Results
DOS(E_F): 11.104 states/eV/cell
total magnetization: 6.28 μB per formula unit
volume: 24.4 A^3/atom

a = 3.597 Å, b = 3.597 Å, c = 8.953 Å
α = 78.41°, β = 78.41°, γ = 60.00°
Element x y z (fractional)
Pu1 0.499 0.499 0.502
Ni1 0.667 0.667 0.999
Ce1 0.264 0.264 0.208
Ce2 0.069 0.069 0.792

=====

--- Q ---
Below is a geometry-optimized Ce2PuNi structure, with properties calculated at the PBE level.

Results
DOS(E_F): 12.291 states/eV/cell
total magnetization: 5.16 μB per formula unit
volume: 24.2 A^3/atom

a = 3.407 Å, b = 3.407 Å, c = 9.846 Å
α = 80.04°, β = 80.04°, γ = 60.00°
Element x y z (fractional)
Pu1 0.000 0.000 0.000
Ce1 0.900 0.900 0.301
Ce2 0.100 0.100 0.699
Ni1 0.500 0.500 0.500

=====

It is P that is most stable; the runner-up trails by 14.8 kJ/mol of atoms.

=====

--- P ---
Below is a geometry-optimized Ce2PuNi structure, with properties calculated at the PBE level.

Results
DOS(E_F): 9.902 states/eV/cell
total magnetization: 5.15 μB per formula unit
volume: 22.5 A^3/atom

a = 3.392 Å, b = 3.392 Å, c = 7.838 Å
α = 90.00°, β = 90.00°, γ = 90.00°
Element x y z (fractional)
Ni1 0.500 0.500 0.000
Ce1 0.000 0.000 0.782
Ce2 0.000 0.000 0.218
Pu1 0.500 0.500 0.500

=====

--- Q ---
Below is a geometry-optimized Ce2PuNi structure, with properties calculated at the PBE level.

Results
DOS(E_F): 8.879 states/eV/cell
total magnetization: 7.62 μB per formula unit
volume: 21.5 A^3/atom

a = 4.957 Å, b = 4.957 Å, c = 4.957 Å
α = 60.00°, β = 60.00°, γ = 60.00°
Element x y z (fractional)
Ce1 0.750 0.750 0.750
Ce2 0.250 0.250 0.250
Pu1 0.000 0.000 0.000
Ni1 0.500 0.500 0.500

=====

It is P that is most stable; the runner-up trails by 7.9 kJ/mol of atoms.

=====

--- P ---
Below is a geometry-optimized CeThNiRh structure, with properties calculated at the PBE level.

Results
DOS(E_F): 7.875 states/eV/cell
total magnetization: 0.55 μB per formula unit
volume: 21.4 A^3/atom

a = 4.948 Å, b = 4.948 Å, c = 4.948 Å
α = 60.00°, β = 60.00°, γ = 60.00°
Element x y z (fractional)
Th1 0.500 0.500 0.500
Ni1 0.250 0.250 0.250
Ce1 0.000 0.000 0.000
Rh1 0.750 0.750 0.750

=====

--- Q ---
Below is a geometry-optimized CeThNiRh structure, with properties calculated at the PBE level.

Results
DOS(E_F): 5.850 states/eV/cell
total magnetization: 0.47 μB per formula unit
volume: 22.1 A^3/atom

a = 3.816 Å, b = 4.213 Å, c = 5.832 Å
α = 90.00°, β = 109.10°, γ = 90.00°
Element x y z (fractional)
Rh1 0.592 0.500 0.184
Th1 0.136 0.000 0.271
Ce1 0.864 0.500 0.729
Ni1 0.408 0.000 0.816

=====

It is Q that is most stable; the runner-up trails by 13.8 kJ/mol of atoms.

=====

--- P ---
Below is a geometry-optimized CeTmNiRh structure, with properties calculated at the PBE level.

Results
DOS(E_F): 6.988 states/eV/cell
total magnetization: 0.40 μB per formula unit
volume: 20.0 A^3/atom

a = 4.838 Å, b = 4.838 Å, c = 4.838 Å
α = 60.00°, β = 60.00°, γ = 60.00°
Element x y z (fractional)
Rh1 0.750 0.750 0.750
Tm1 0.000 0.000 0.000
Ni1 0.250 0.250 0.250
Ce1 0.500 0.500 0.500

=====

--- Q ---
Below is a geometry-optimized CeTmNiRh structure, with properties calculated at the PBE level.

Results
DOS(E_F): 4.238 states/eV/cell
total magnetization: 0.01 μB per formula unit
volume: 20.4 A^3/atom

a = 3.645 Å, b = 4.460 Å, c = 5.334 Å
α = 90.00°, β = 109.98°, γ = 90.00°
Element x y z (fractional)
Ni1 0.417 0.000 0.834
Rh1 0.591 0.500 0.182
Tm1 0.136 0.000 0.271
Ce1 0.857 0.500 0.713

=====

It is Q that is most stable; the runner-up trails by 8.4 kJ/mol of atoms.

=====

--- P ---
Below is a geometry-optimized CeNiS2 structure, with properties calculated at the PBE level.

Results
DOS(E_F): 6.305 states/eV/cell
total magnetization: 1.06 μB per formula unit
volume: 20.3 A^3/atom

a = 3.467 Å, b = 3.467 Å, c = 8.053 Å
α = 77.57°, β = 77.57°, γ = 60.00°
Element x y z (fractional)
Ni1 0.500 0.500 0.500
S1 0.884 0.884 0.349
S2 0.116 0.116 0.651
Ce1 0.000 0.000 0.000

=====

--- Q ---
Below is a geometry-optimized CeNiS2 structure, with properties calculated at the PBE level.

Results
DOS(E_F): 9.744 states/eV/cell
total magnetization: 0.15 μB per formula unit
volume: 18.8 A^3/atom

a = 3.783 Å, b = 6.887 Å, c = 11.530 Å
α = 90.00°, β = 90.00°, γ = 90.00°
Element x y z (fractional)
S1 0.750 0.290 0.463
S2 0.750 0.039 0.713
S3 0.250 0.210 0.963
S4 0.250 0.710 0.537
S5 0.250 0.461 0.213
S6 0.750 0.790 0.037
S7 0.250 0.961 0.287
S8 0.750 0.539 0.787
Ce1 0.750 0.657 0.359
Ce2 0.750 0.157 0.141
Ce3 0.250 0.843 0.859
Ce4 0.250 0.343 0.641
Ni1 0.750 0.239 0.866
Ni2 0.250 0.261 0.366
Ni3 0.250 0.761 0.134
Ni4 0.750 0.739 0.634

=====

It is Q that is most stable; the runner-up trails by 102.7 kJ/mol of atoms.

=====

--- P ---
Below is a geometry-optimized CeNiSb3 structure, with properties calculated at the PBE level.

Results
DOS(E_F): 21.892 states/eV/cell
total magnetization: 0.47 μB per formula unit
volume: 23.7 A^3/atom

a = 6.067 Å, b = 6.202 Å, c = 12.620 Å
α = 90.00°, β = 90.00°, γ = 90.00°
Element x y z (fractional)
Ce1 0.250 0.502 0.303
Ce2 0.750 0.998 0.303
Ce3 0.750 0.498 0.697
Ce4 0.250 0.002 0.697
Sb1 0.750 0.493 0.227
Sb2 0.000 0.750 0.501
Sb3 0.500 0.750 0.501
Sb4 0.000 0.250 0.499
Sb5 0.250 0.596 0.054
Sb6 0.250 0.507 0.773
Sb7 0.750 0.904 0.054
Sb8 0.250 0.096 0.946
Sb9 0.500 0.250 0.499
Sb10 0.250 0.007 0.227
Sb11 0.750 0.993 0.773
Sb12 0.750 0.404 0.946
Ni1 0.000 0.750 0.905
Ni2 0.500 0.250 0.095
Ni3 0.500 0.750 0.905
Ni4 0.000 0.250 0.095

=====

--- Q ---
Below is a geometry-optimized CeNiSb3 structure, with properties calculated at the PBE level.

Results
DOS(E_F): 44.855 states/eV/cell
total magnetization: 0.57 μB per formula unit
volume: 23.9 A^3/atom

a = 6.258 Å, b = 12.228 Å, c = 12.496 Å
α = 90.00°, β = 90.00°, γ = 90.00°
Element x y z (fractional)
Ce1 0.216 0.250 0.304
Ce2 0.250 0.500 0.699
Ce3 0.784 0.750 0.696
Ce4 0.750 0.000 0.301
Ce5 0.750 0.500 0.301
Ce6 0.250 0.000 0.699
Ce7 0.284 0.750 0.304
Ce8 0.716 0.250 0.696
Ni1 0.547 0.863 0.900
Ni2 0.047 0.637 0.100
Ni3 0.453 0.137 0.100
Ni4 0.953 0.137 0.900
Ni5 0.047 0.863 0.100
Ni6 0.453 0.363 0.100
Ni7 0.953 0.363 0.900
Ni8 0.547 0.637 0.900
Sb1 0.716 0.250 0.228
Sb2 0.520 0.624 0.504
Sb3 0.904 0.750 0.942
Sb4 0.250 0.500 0.969
Sb5 0.404 0.750 0.058
Sb6 0.750 0.500 0.031
Sb7 0.980 0.376 0.504
Sb8 0.480 0.376 0.496
Sb9 0.750 0.000 0.031
Sb10 0.750 0.000 0.771
Sb11 0.520 0.876 0.504
Sb12 0.480 0.124 0.496
Sb13 0.784 0.750 0.228
Sb14 0.750 0.500 0.771
Sb15 0.250 0.000 0.229
Sb16 0.284 0.750 0.772
Sb17 0.980 0.124 0.504
Sb18 0.250 0.000 0.969
Sb19 0.020 0.624 0.496
Sb20 0.020 0.876 0.496
Sb21 0.250 0.500 0.229
Sb22 0.216 0.250 0.772
Sb23 0.596 0.250 0.942
Sb24 0.096 0.250 0.058

=====

It is Q that is most stable; the runner-up trails by 3.2 kJ/mol of atoms.